# LiAcC2O6 (PBE, optimized geometry)
data_LiAcC2O6
_chemical_formula_sum 'Li1 Ac1 C2 O6'
_symmetry_space_group_name_H-M 'P 1'
_symmetry_Int_Tables_number 1
_cell_length_a 6.275
_cell_length_b 6.275
_cell_length_c 6.275
_cell_angle_alpha 47.16
_cell_angle_beta 47.16
_cell_angle_gamma 47.16
loop_
_symmetry_equiv_pos_as_xyz
'x,y,z'
loop_
_atom_site_label
_atom_site_fract_x
_atom_site_fract_y
_atom_site_fract_z
_atom_site_occupancy
Li1 0.000 0.000 0.000 1
Ac1 0.500 0.500 0.500 1
C1 0.255 0.255 0.255 1
C2 0.745 0.745 0.745 1
O1 0.038 0.182 0.540 1
O2 0.182 0.540 0.038 1
O3 0.460 0.962 0.818 1
O4 0.540 0.038 0.182 1
O5 0.818 0.460 0.962 1
O6 0.962 0.818 0.460 1
# E_form (uncorrected) ... -2133 meV per atom

# Na2ErTl5 (PBE, optimized geometry)
data_Na2ErTl5
_chemical_formula_sum 'Na2 Er1 Tl5'
_symmetry_space_group_name_H-M 'P 1'
_symmetry_Int_Tables_number 1
_cell_length_a 6.627
_cell_length_b 6.627
_cell_length_c 6.627
_cell_angle_alpha 105.80
_cell_angle_beta 105.80
_cell_angle_gamma 117.10
loop_
_symmetry_equiv_pos_as_xyz
'x,y,z'
loop_
_atom_site_label
_atom_site_fract_x
_atom_site_fract_y
_atom_site_fract_z
_atom_site_occupancy
Na1 0.000 0.500 0.500 1
Na2 0.500 0.000 0.500 1
Er1 0.000 0.000 0.000 1
Tl1 0.000 0.000 0.500 1
Tl2 0.000 0.500 0.000 1
Tl3 0.500 0.000 0.000 1
Tl4 0.500 0.500 0.000 1
Tl5 0.500 0.500 0.500 1
# Energy of formation from the pure elements ... -146 meV/atom

# Ce6SbP3Se2 (PBE, optimized geometry)
data_Ce6SbP3Se2
_chemical_formula_sum 'Ce6 Sb1 P3 Se2'
_symmetry_space_group_name_H-M 'P 1'
_symmetry_Int_Tables_number 1
_cell_length_a 9.426
_cell_length_b 9.426
_cell_length_c 8.453
_cell_angle_alpha 103.80
_cell_angle_beta 103.80
_cell_angle_gamma 25.61
loop_
_symmetry_equiv_pos_as_xyz
'x,y,z'
loop_
_atom_site_label
_atom_site_fract_x
_atom_site_fract_y
_atom_site_fract_z
_atom_site_occupancy
Ce1 0.003 0.003 0.232 1
Ce2 0.326 0.326 0.423 1
Ce3 0.337 0.337 0.908 1
Ce4 0.663 0.663 0.092 1
Ce5 0.674 0.674 0.577 1
Ce6 0.997 0.997 0.768 1
Sb1 0.500 0.500 0.500 1
P1 0.166 0.166 0.332 1
P2 0.500 0.500 0.000 1
P3 0.834 0.834 0.668 1
Se1 0.168 0.168 0.834 1
Se2 0.832 0.832 0.166 1
# E_form (uncorrected) ... -1538 meV per atom

# Pm3Nd2TmTe6 (PBE, optimized geometry)
data_Pm3Nd2TmTe6
_chemical_formula_sum 'Pm3 Nd2 Tm1 Te6'
_symmetry_space_group_name_H-M 'P 1'
_symmetry_Int_Tables_number 1
_cell_length_a 9.956
_cell_length_b 9.956
_cell_length_c 8.954
_cell_angle_alpha 102.48
_cell_angle_beta 102.48
_cell_angle_gamma 25.63
loop_
_symmetry_equiv_pos_as_xyz
'x,y,z'
loop_
_atom_site_label
_atom_site_fract_x
_atom_site_fract_y
_atom_site_fract_z
_atom_site_occupancy
Pm1 0.000 0.000 0.000 1
Pm2 0.326 0.326 0.664 1
Pm3 0.674 0.674 0.336 1
Nd1 0.329 0.329 0.163 1
Nd2 0.671 0.671 0.837 1
Tm1 0.000 0.000 0.500 1
Te1 0.159 0.159 0.578 1
Te2 0.164 0.164 0.084 1
Te3 0.498 0.498 0.739 1
Te4 0.502 0.502 0.261 1
Te5 0.836 0.836 0.916 1
Te6 0.841 0.841 0.422 1
# E_form (uncorrected) ... -1376 meV per atom